# Sc2CoTc | Alexandria via LeMat-Bulk | PBE | optimized geometry
data_Sc2CoTc
_chemical_formula_sum 'Sc4 Co2 Tc2'
_symmetry_space_group_name_H-M 'I m m 2'
_symmetry_Int_Tables_number 44
_symmetry_space_group_name_Hall 'I 2 -2'
_cell_length_a 3.163
_cell_length_b 4.396
_cell_length_c 9.506
_cell_angle_alpha 90.00
_cell_angle_beta 90.00
_cell_angle_gamma 90.00
loop_
_atom_site_label
_atom_site_fract_x
_atom_site_fract_y
_atom_site_fract_z
_atom_site_occupancy
Sc1 0.000 0.000 0.000 1
Sc2 0.000 0.500 0.224 1
Co1 0.000 0.000 0.473 1
Tc1 0.000 0.500 0.759 1
# Crystal system: orthorhombic
# E in eV per formula unit: -30.807
# Density of states at the Fermi level in states/eV/cell: 5.77
# Energy of formation in eV per formula unit: -0.67

***

# Sc2CoTc | Alexandria via LeMat-Bulk | PBE | optimized geometry
data_Sc2CoTc
_chemical_formula_sum 'Sc6 Co3 Tc3'
_symmetry_space_group_name_H-M 'R -3 m'
_symmetry_Int_Tables_number 166
_symmetry_space_group_name_Hall '-R 3 2"'
_cell_length_a 2.9556
_cell_length_b 2.9556
_cell_length_c 27.1188
_cell_angle_alpha 90.00
_cell_angle_beta 90.00
_cell_angle_gamma 120.00
loop_
_atom_site_label
_atom_site_fract_x
_atom_site_fract_y
_atom_site_fract_z
_atom_site_occupancy
Sc1 0.0000 0.0000 0.0947 1
Co1 0.0000 0.0000 0.5000 1
Tc1 0.0000 0.0000 0.0000 1
# Crystal system: trigonal
# E in eV per formula unit: -28.739
# Density of states at the Fermi level in states/eV/cell: 13.18
# Energy of formation in eV per formula unit: 1.40

***

# ScCo2Tc | Alexandria via LeMat-Bulk | PBE | optimized geometry
data_ScCo2Tc
_chemical_formula_sum 'Sc4 Co8 Tc4'
_symmetry_space_group_name_H-M 'I -4 2 d'
_symmetry_Int_Tables_number 122
_symmetry_space_group_name_Hall 'I -4 2bw'
_cell_length_a 3.834
_cell_length_b 3.834
_cell_length_c 16.802
_cell_angle_alpha 90.00
_cell_angle_beta 90.00
_cell_angle_gamma 90.00
loop_
_atom_site_label
_atom_site_fract_x
_atom_site_fract_y
_atom_site_fract_z
_atom_site_occupancy
Sc1 0.000 0.000 0.000 1
Co1 0.200 0.250 0.625 1
Tc1 0.000 0.000 0.500 1
# Crystal system: tetragonal
# E in eV per formula unit: -28.802
# Density of states at the Fermi level in states/eV/cell: 17.49
# Energy of formation in eV per formula unit: 2.11

***

# ScCo2Tc | Alexandria via LeMat-Bulk | PBE | optimized geometry
data_ScCo2Tc
_chemical_formula_sum 'Sc2 Co4 Tc2'
_symmetry_space_group_name_H-M 'I m m 2'
_symmetry_Int_Tables_number 44
_symmetry_space_group_name_Hall 'I 2 -2'
_cell_length_a 3.012
_cell_length_b 4.306
_cell_length_c 8.694
_cell_angle_alpha 90.00
_cell_angle_beta 90.00
_cell_angle_gamma 90.00
loop_
_atom_site_label
_atom_site_fract_x
_atom_site_fract_y
_atom_site_fract_z
_atom_site_occupancy
Sc1 0.000 0.000 0.000 1
Co1 0.000 0.000 0.493 1
Co2 0.000 0.500 0.760 1
Tc1 0.000 0.500 0.231 1
# Crystal system: orthorhombic
# E in eV per formula unit: -30.792
# Density of states at the Fermi level in states/eV/cell: 7.85
# Energy of formation in eV per formula unit: 0.12

***

# Sc2CoTc | Alexandria via LeMat-Bulk | PBE | optimized geometry
data_Sc2CoTc
_chemical_formula_sum 'Sc2 Co1 Tc1'
_symmetry_space_group_name_H-M 'P 4 m m'
_symmetry_Int_Tables_number 99
_symmetry_space_group_name_Hall 'P 4 -2'
_cell_length_a 2.888
_cell_length_b 2.888
_cell_length_c 8.291
_cell_angle_alpha 90.00
_cell_angle_beta 90.00
_cell_angle_gamma 90.00
loop_
_atom_site_label
_atom_site_fract_x
_atom_site_fract_y
_atom_site_fract_z
_atom_site_occupancy
Sc1 0.000 0.000 0.000 1
Sc2 0.500 0.500 0.347 1
Co1 0.500 0.500 0.776 1
Tc1 0.000 0.000 0.597 1
# Crystal system: tetragonal
# E in eV per formula unit: -30.149
# Density of states at the Fermi level in states/eV/cell: 3.74
# Energy of formation in eV per formula unit: -0.01

***

# ScCo2Tc | Alexandria via LeMat-Bulk | PBE | optimized geometry
data_ScCo2Tc
_chemical_formula_sum 'Sc1 Co2 Tc1'
_symmetry_space_group_name_H-M 'P 4 m m'
_symmetry_Int_Tables_number 99
_symmetry_space_group_name_Hall 'P 4 -2'
_cell_length_a 3.049
_cell_length_b 3.049
_cell_length_c 6.083
_cell_angle_alpha 90.00
_cell_angle_beta 90.00
_cell_angle_gamma 90.00
loop_
_atom_site_label
_atom_site_fract_x
_atom_site_fract_y
_atom_site_fract_z
_atom_site_occupancy
Sc1 0.000 0.000 0.000 1
Co1 0.000 0.000 0.524 1
Co2 0.500 0.500 0.736 1
Tc1 0.500 0.500 0.312 1
# Crystal system: tetragonal
# E in eV per formula unit: -30.708
# Density of states at the Fermi level in states/eV/cell: 6.86
# Energy of formation in eV per formula unit: 0.20

***

# Sc5Co2Tc | Alexandria via LeMat-Bulk | PBE | optimized geometry
data_Sc5Co2Tc
_chemical_formula_sum 'Sc20 Co8 Tc4'
_symmetry_space_group_name_H-M 'I 4/m c m'
_symmetry_Int_Tables_number 140
_symmetry_space_group_name_Hall '-I 4 2c'
_cell_length_a 6.657
_cell_length_b 6.657
_cell_length_c 13.303
_cell_angle_alpha 90.00
_cell_angle_beta 90.00
_cell_angle_gamma 90.00
loop_
_atom_site_label
_atom_site_fract_x
_atom_site_fract_y
_atom_site_fract_z
_atom_site_occupancy
Sc1 0.000 0.000 0.000 1
Sc2 0.177 0.323 0.144 1
Co1 0.118 0.382 0.500 1
Tc1 0.000 0.000 0.250 1
# Crystal system: tetragonal
# E in eV per formula unit: -58.333
# Density of states at the Fermi level in states/eV/cell: 20.53
# Energy of formation in eV per formula unit: -2.10

***

# ScCo3Tc | Alexandria via LeMat-Bulk | PBE | optimized geometry
data_ScCo3Tc
_chemical_formula_sum 'Sc1 Co3 Tc1'
_symmetry_space_group_name_H-M 'P m -3 m'
_symmetry_Int_Tables_number 221
_symmetry_space_group_name_Hall '-P 4 2 3'
_cell_length_a 4.388
_cell_length_b 4.388
_cell_length_c 4.388
_cell_angle_alpha 90.00
_cell_angle_beta 90.00
_cell_angle_gamma 90.00
loop_
_atom_site_label
_atom_site_fract_x
_atom_site_fract_y
_atom_site_fract_z
_atom_site_occupancy
Sc1 0.000 0.000 0.000 1
Co1 0.000 0.500 0.500 1
Tc1 0.500 0.500 0.500 1
# Crystal system: cubic
# E in eV per formula unit: -33.910
# Density of states at the Fermi level in states/eV/cell: 6.92
# Energy of formation in eV per formula unit: 4.11

***

# ScCo2Tc | Alexandria via LeMat-Bulk | PBE | optimized geometry
data_ScCo2Tc
_chemical_formula_sum 'Sc2 Co4 Tc2'
_symmetry_space_group_name_H-M 'I -4 m 2'
_symmetry_Int_Tables_number 119
_symmetry_space_group_name_Hall 'I -4 -2'
_cell_length_a 3.693
_cell_length_b 3.693
_cell_length_c 8.018
_cell_angle_alpha 90.00
_cell_angle_beta 90.00
_cell_angle_gamma 90.00
loop_
_atom_site_label
_atom_site_fract_x
_atom_site_fract_y
_atom_site_fract_z
_atom_site_occupancy
Sc1 0.000 0.000 0.000 1
Co1 0.000 0.000 0.500 1
Co2 0.000 0.500 0.250 1
Tc1 0.000 0.500 0.750 1
# Crystal system: tetragonal
# E in eV per formula unit: -30.592
# Density of states at the Fermi level in states/eV/cell: 9.08
# Energy of formation in eV per formula unit: 0.32

***

# ScCo2Tc | Alexandria via LeMat-Bulk | PBE | optimized geometry
data_ScCo2Tc
_chemical_formula_sum 'Sc3 Co6 Tc3'
_symmetry_space_group_name_H-M 'R 3 m'
_symmetry_Int_Tables_number 160
_symmetry_space_group_name_Hall 'R 3 -2"'
_cell_length_a 2.7975
_cell_length_b 2.7975
_cell_length_c 25.2650
_cell_angle_alpha 90.00
_cell_angle_beta 90.00
_cell_angle_gamma 120.00
loop_
_atom_site_label
_atom_site_fract_x
_atom_site_fract_y
_atom_site_fract_z
_atom_site_occupancy
Sc1 0.0000 0.0000 0.0000 1
Co1 0.0000 0.0000 0.2482 1
Co2 0.0000 0.0000 0.5079 1
Tc1 0.0000 0.0000 0.7623 1
# Crystal system: trigonal
# E in eV per formula unit: -29.746
# Density of states at the Fermi level in states/eV/cell: 16.92
# Energy of formation in eV per formula unit: 1.16

***

# Sc6Co5Tc | Alexandria via LeMat-Bulk | PBE | optimized geometry
data_Sc6Co5Tc
_chemical_formula_sum 'Sc12 Co10 Tc2'
_symmetry_space_group_name_H-M 'I m m m'
_symmetry_Int_Tables_number 71
_symmetry_space_group_name_Hall '-I 2 2'
_cell_length_a 4.445
_cell_length_b 6.269
_cell_length_c 13.322
_cell_angle_alpha 90.00
_cell_angle_beta 90.00
_cell_angle_gamma 90.00
loop_
_atom_site_label
_atom_site_fract_x
_atom_site_fract_y
_atom_site_fract_z
_atom_site_occupancy
Sc1 0.000 0.248 0.000 1
Sc2 0.000 0.251 0.333 1
Co1 0.000 0.000 0.168 1
Co2 0.000 0.500 0.167 1
Co3 0.000 0.500 0.500 1
Tc1 0.000 0.000 0.500 1
# Crystal system: orthorhombic
# E in eV per formula unit: -87.601
# Density of states at the Fermi level in states/eV/cell: 16.14
# Energy of formation in eV per formula unit: -3.72

***

# ScCoTc3 | Alexandria via LeMat-Bulk | PBE | optimized geometry
data_ScCoTc3
_chemical_formula_sum 'Sc1 Co1 Tc3'
_symmetry_space_group_name_H-M 'P m -3 m'
_symmetry_Int_Tables_number 221
_symmetry_space_group_name_Hall '-P 4 2 3'
_cell_length_a 4.442
_cell_length_b 4.442
_cell_length_c 4.442
_cell_angle_alpha 90.00
_cell_angle_beta 90.00
_cell_angle_gamma 90.00
loop_
_atom_site_label
_atom_site_fract_x
_atom_site_fract_y
_atom_site_fract_z
_atom_site_occupancy
Sc1 0.000 0.000 0.000 1
Co1 0.500 0.500 0.500 1
Tc1 0.000 0.500 0.500 1
# Crystal system: cubic
# E in eV per formula unit: -40.171
# Density of states at the Fermi level in states/eV/cell: 6.18
# Energy of formation in eV per formula unit: 4.36